Record 1
# Li2SbH | Alexandria via LeMat-Bulk | PBE | relaxed
# - symmetry = R-3m, No. 166
# - E above lowest polymorph (meV/atom) = 15
data_Li2SbH
_chemical_formula_sum 'Li6 Sb3 H3'
_cell_length_a 3.230
_cell_length_b 3.230
_cell_length_c 20.415
_cell_angle_alpha 90.00
_cell_angle_beta 90.00
_cell_angle_gamma 120.00
_space_group_name_H-M_alt 'P 1'
_space_group_IT_number 1
_space_group_name_Hall 'P 1'
loop_
_atom_site_label
_atom_site_fract_x
_atom_site_fract_y
_atom_site_fract_z
Li1 0.000 0.000 0.221
Li2 0.000 0.000 0.779
Li3 0.333 0.667 0.446
Li4 0.333 0.667 0.887
Li5 0.667 0.333 0.113
Li6 0.667 0.333 0.554
Sb1 0.000 0.000 0.000
Sb2 0.333 0.667 0.667
Sb3 0.667 0.333 0.333
H1 0.000 0.000 0.500
H2 0.333 0.667 0.167
H3 0.667 0.333 0.833



Record 2
# La4CeH10 | Alexandria via LeMat-Bulk | PBE | relaxed
# - symmetry = R-3m, No. 166
# - E (eV per cell) = -68.562
data_La4CeH10
_chemical_formula_sum 'La4 Ce1 H10'
_cell_length_a 16.366
_cell_length_b 16.366
_cell_length_c 16.366
_cell_angle_alpha 13.90
_cell_angle_beta 13.90
_cell_angle_gamma 13.90
_space_group_name_H-M_alt 'P 1'
_space_group_IT_number 1
_space_group_name_Hall 'P 1'
loop_
_atom_site_label
_atom_site_fract_x
_atom_site_fract_y
_atom_site_fract_z
La1 0.101 0.101 0.101
La2 0.300 0.300 0.300
La3 0.700 0.700 0.700
La4 0.899 0.899 0.899
Ce1 0.500 0.500 0.500
H1 0.051 0.051 0.051
H2 0.152 0.152 0.152
H3 0.250 0.250 0.250
H4 0.350 0.350 0.350
H5 0.451 0.451 0.451
H6 0.549 0.549 0.549
H7 0.650 0.650 0.650
H8 0.750 0.750 0.750
H9 0.848 0.848 0.848
H10 0.949 0.949 0.949



Record 3
# LaAl7Cu5 | Alexandria via LeMat-Bulk | PBE | relaxed
# - energy of formation from the pure elements (eV per atom) = -0.34
# - symmetry = Imm2, No. 44
data_LaAl7Cu5
_chemical_formula_sum 'La1 Al7 Cu5'
_cell_length_a 6.772
_cell_length_b 6.772
_cell_length_c 6.772
_cell_angle_alpha 135.49
_cell_angle_beta 97.49
_cell_angle_gamma 99.00
_space_group_name_H-M_alt 'P 1'
_space_group_IT_number 1
_space_group_name_Hall 'P 1'
loop_
_atom_site_label
_atom_site_fract_x
_atom_site_fract_y
_atom_site_fract_z
La1 0.000 0.000 0.000
Al1 0.221 0.505 0.715
Al2 0.341 0.991 0.350
Al3 0.347 0.347 0.000
Al4 0.641 0.991 0.650
Al5 0.648 0.648 0.000
Al6 0.771 0.271 0.500
Al7 0.790 0.505 0.285
Cu1 0.229 0.729 0.500
Cu2 0.503 0.002 0.004
Cu3 0.503 0.499 0.501
Cu4 0.998 0.002 0.499
Cu5 0.998 0.499 0.996



Record 4
# CsHg4Cl | Alexandria via LeMat-Bulk | PBE | relaxed
# - uncorrected formation energy (eV/f.u.) = -3.02
# - symmetry = F-43m, No. 216
data_CsHg4Cl
_chemical_formula_sum 'Cs1 Hg4 Cl1'
_cell_length_a 6.669
_cell_length_b 6.669
_cell_length_c 6.669
_cell_angle_alpha 60.00
_cell_angle_beta 60.00
_cell_angle_gamma 60.00
_space_group_name_H-M_alt 'P 1'
_space_group_IT_number 1
_space_group_name_Hall 'P 1'
loop_
_atom_site_label
_atom_site_fract_x
_atom_site_fract_y
_atom_site_fract_z
Cs1 0.000 0.000 0.000
Hg1 0.377 0.377 0.377
Hg2 0.377 0.377 0.870
Hg3 0.377 0.870 0.377
Hg4 0.870 0.377 0.377
Cl1 0.750 0.750 0.750



Record 5
# Mn2BRhSe | Alexandria via LeMat-Bulk | PBE | relaxed
# - uncorrected formation energy (eV/f.u.) = 5.91
# - symmetry = P4/mmm, No. 123
data_Mn2BRhSe
_chemical_formula_sum 'Mn2 B1 Rh1 Se1'
_cell_length_a 4.536
_cell_length_b 4.536
_cell_length_c 3.963
_cell_angle_alpha 90.00
_cell_angle_beta 90.00
_cell_angle_gamma 90.00
_space_group_name_H-M_alt 'P 1'
_space_group_IT_number 1
_space_group_name_Hall 'P 1'
loop_
_atom_site_label
_atom_site_fract_x
_atom_site_fract_y
_atom_site_fract_z
Mn1 0.000 0.500 0.000
Mn2 0.500 0.000 0.000
B1 0.000 0.000 0.500
Rh1 0.500 0.500 0.500
Se1 0.000 0.000 0.000



Record 6
# AcSb2Au | Alexandria via LeMat-Bulk | PBE | relaxed
# - uncorrected formation energy (eV/f.u.) = -2.93
# - symmetry = P4/nmm, No. 129
# - E above lowest polymorph (meV/atom) = 0
data_AcSb2Au
_chemical_formula_sum 'Ac2 Sb4 Au2'
_cell_length_a 4.600
_cell_length_b 4.600
_cell_length_c 10.771
_cell_angle_alpha 90.00
_cell_angle_beta 90.00
_cell_angle_gamma 90.00
_space_group_name_H-M_alt 'P 1'
_space_group_IT_number 1
_space_group_name_Hall 'P 1'
loop_
_atom_site_label
_atom_site_fract_x
_atom_site_fract_y
_atom_site_fract_z
Ac1 0.250 0.250 0.248
Ac2 0.750 0.750 0.752
Sb1 0.250 0.250 0.662
Sb2 0.250 0.750 0.000
Sb3 0.750 0.250 0.000
Sb4 0.750 0.750 0.338
Au1 0.250 0.750 0.500
Au2 0.750 0.250 0.500



Record 7
# Rb2LiHgBi | Alexandria via LeMat-Bulk | PBE | relaxed
# - energy of formation from the pure elements (eV per atom) = -0.21
# - symmetry = P4/mmm, No. 123
# - E above lowest polymorph (meV/atom) = 0
data_Rb2LiHgBi
_chemical_formula_sum 'Rb2 Li1 Hg1 Bi1'
_cell_length_a 7.222
_cell_length_b 7.222
_cell_length_c 5.357
_cell_angle_alpha 90.00
_cell_angle_beta 90.00
_cell_angle_gamma 90.00
_space_group_name_H-M_alt 'P 1'
_space_group_IT_number 1
_space_group_name_Hall 'P 1'
loop_
_atom_site_label
_atom_site_fract_x
_atom_site_fract_y
_atom_site_fract_z
Rb1 0.000 0.500 0.000
Rb2 0.500 0.000 0.000
Li1 0.000 0.000 0.500
Hg1 0.500 0.500 0.500
Bi1 0.000 0.000 0.000



Record 8
# KCr2Fe | Alexandria via LeMat-Bulk | PBE | relaxed
# - energy of formation from the pure elements (eV per atom) = 1.34
# - symmetry = Pmmm, No. 47
# - E above lowest polymorph (meV/atom) = 571
data_KCr2Fe
_chemical_formula_sum 'K1 Cr2 Fe1'
_cell_length_a 2.991
_cell_length_b 5.047
_cell_length_c 5.080
_cell_angle_alpha 90.00
_cell_angle_beta 90.00
_cell_angle_gamma 90.00
_space_group_name_H-M_alt 'P 1'
_space_group_IT_number 1
_space_group_name_Hall 'P 1'
loop_
_atom_site_label
_atom_site_fract_x
_atom_site_fract_y
_atom_site_fract_z
K1 0.000 0.000 0.000
Cr1 0.000 0.500 0.500
Cr2 0.500 0.000 0.500
Fe1 0.500 0.500 0.000



Record 9
# SrPd4Pb4 | Alexandria via LeMat-Bulk | PBE | relaxed
# - energy of formation from the pure elements (eV per atom) = -0.29
# - symmetry = P4_2/nmc, No. 137
data_SrPd4Pb4
_chemical_formula_sum 'Sr2 Pd8 Pb8'
_cell_length_a 6.693
_cell_length_b 6.693
_cell_length_c 9.693
_cell_angle_alpha 90.00
_cell_angle_beta 90.00
_cell_angle_gamma 90.00
_space_group_name_H-M_alt 'P 1'
_space_group_IT_number 1
_space_group_name_Hall 'P 1'
loop_
_atom_site_label
_atom_site_fract_x
_atom_site_fract_y
_atom_site_fract_z
Sr1 0.250 0.750 0.250
Sr2 0.750 0.250 0.750
Pd1 0.042 0.250 0.163
Pd2 0.250 0.042 0.663
Pd3 0.250 0.458 0.663
Pd4 0.458 0.250 0.163
Pd5 0.542 0.750 0.837
Pd6 0.750 0.542 0.337
Pd7 0.750 0.958 0.337
Pd8 0.958 0.750 0.837
Pb1 0.017 0.250 0.444
Pb2 0.250 0.017 0.944
Pb3 0.250 0.483 0.944
Pb4 0.483 0.250 0.444
Pb5 0.517 0.750 0.556
Pb6 0.750 0.517 0.056
Pb7 0.750 0.983 0.056
Pb8 0.983 0.750 0.556



Record 10
# RbLaAuS2 | Alexandria via LeMat-Bulk | PBE | relaxed
# - uncorrected formation energy (eV/f.u.) = -5.91
# - symmetry = P2/c, No. 13
data_RbLaAuS2
_chemical_formula_sum 'Rb2 La2 Au2 S4'
_cell_length_a 7.633
_cell_length_b 5.147
_cell_length_c 8.294
_cell_angle_alpha 90.00
_cell_angle_beta 100.67
_cell_angle_gamma 90.00
_space_group_name_H-M_alt 'P 1'
_space_group_IT_number 1
_space_group_name_Hall 'P 1'
loop_
_atom_site_label
_atom_site_fract_x
_atom_site_fract_y
_atom_site_fract_z
Rb1 0.000 0.148 0.250
Rb2 0.000 0.852 0.750
La1 0.500 0.490 0.750
La2 0.500 0.510 0.250
Au1 0.500 0.000 0.000
Au2 0.500 0.000 0.500
S1 0.265 0.327 0.963
S2 0.265 0.673 0.463
S3 0.735 0.327 0.537
S4 0.735 0.673 0.037



Record 11
# Al2NiBr | Alexandria via LeMat-Bulk | PBE | relaxed
# - uncorrected formation energy (eV/f.u.) = 0.90
# - symmetry = Cmmm, No. 65
# - E above lowest polymorph (meV/atom) = 497
data_Al2NiBr
_chemical_formula_sum 'Al4 Ni2 Br2'
_cell_length_a 6.628
_cell_length_b 7.164
_cell_length_c 2.917
_cell_angle_alpha 90.00
_cell_angle_beta 90.00
_cell_angle_gamma 90.00
_space_group_name_H-M_alt 'P 1'
_space_group_IT_number 1
_space_group_name_Hall 'P 1'
loop_
_atom_site_label
_atom_site_fract_x
_atom_site_fract_y
_atom_site_fract_z
Al1 0.250 0.250 0.000
Al2 0.250 0.750 0.000
Al3 0.750 0.250 0.000
Al4 0.750 0.750 0.000
Ni1 0.000 0.000 0.500
Ni2 0.500 0.500 0.500
Br1 0.000 0.500 0.500
Br2 0.500 0.000 0.500



Total magnetization values (in μB/atom) by entry order: 0.000, 0.056, 0.000, 0.000, 1.509, 0.000, 0.000, 0.802, 0.000, 0.000, 0.000.